Entry from Alexandria: Ac3Tb2Tl4Cd2 after structural relaxation (GGA-PBE).

It has space group P-3m1 (No. 164), with a = 5.1821 Å, b = 5.1821 Å, c = 15.8068 Å, α = 90.00°, β = 90.00° and γ = 120.00°. The distinct sites, in fractional coordinates, are Ac at (0.0000, 0.0000, 0.0000), Ac at (0.0000, 0.0000, 0.2578), Tb at (0.3333, 0.6667, 0.5710), Tl at (0.3333, 0.6667, 0.3699), Tl at (0.3333, 0.6667, 0.8697) and Cd at (0.3333, 0.6667, 0.1220).

For the formation energy, the calculation gives -0.2246 eV per atom. The spin magnetization comes out at 0.00 μB per formula unit. For the total energy, the calculation gives -0.1181 Ha/atom.



Entry from Alexandria: MoAuSe2 after structural relaxation (GGA-PBE).

It has space group Cm (No. 8), with a = 13.365 Å, b = 3.134 Å, c = 3.917 Å, α = 90.00°, β = 103.35° and γ = 90.00°. The distinct sites, in fractional coordinates, are Mo at (0.000, 0.000, 0.000), Au at (0.284, 0.000, 0.803), Se at (0.150, 0.500, 0.146) and Se at (0.436, 0.000, 0.449).

The spin magnetization comes out at 0.00 μB per formula unit. The formation energy without anion corrections comes out at 100 meV per atom. The calculation puts the offset from the most stable computed form at 271 meV/atom. For the total energy, the calculation gives -0.1900 Ha/atom.